w.
## Ba2YCl (PBE-GGA)

Data for crystalline Ba2YCl at its relaxed geometry.

```
Ba2YCl
1.0
9.502 0.000 0.000
0.000 9.502 0.000
0.000 0.000 8.220
Ba Y Cl
8 4 4
Direct
0.171 0.250 0.125
0.250 0.671 0.375
0.250 0.829 0.875
0.329 0.250 0.625
0.671 0.750 0.625
0.750 0.171 0.875
0.750 0.329 0.375
0.829 0.750 0.125
0.000 0.000 0.500
0.000 0.500 0.750
0.500 0.000 0.250
0.500 0.500 0.000
0.000 0.000 0.000
0.000 0.500 0.250
0.500 0.000 0.750
0.500 0.500 0.500
```

Output
SG   I-42d, No. 122
Size of the total moment   0.31 μB/f.u.
D(E_F)   33.7 states/eV per cell

=====

x.
## Ba2YCl (PBE-GGA)

Data for crystalline Ba2YCl at its relaxed geometry.

```
Ba2YCl
1.0
8.916 0.000 0.000
0.000 8.916 0.000
0.000 0.000 8.916
Ba Y Cl
8 4 4
Direct
0.250 0.250 0.250
0.250 0.250 0.750
0.250 0.750 0.250
0.250 0.750 0.750
0.750 0.250 0.250
0.750 0.250 0.750
0.750 0.750 0.250
0.750 0.750 0.750
0.000 0.000 0.000
0.000 0.500 0.500
0.500 0.000 0.500
0.500 0.500 0.000
0.000 0.000 0.500
0.000 0.500 0.000
0.500 0.000 0.000
0.500 0.500 0.500
```

Output
SG   Fm-3m, No. 225
Size of the total moment   0.00 μB/f.u.
D(E_F)   19.5 states/eV per cell

=====

Most stable structure: w

=====

w.
## Ba2YCl (PBE-GGA)

Data for crystalline Ba2YCl at its relaxed geometry.

```
Ba2YCl
1.0
8.781 0.000 0.000
0.000 8.781 0.000
0.000 0.000 8.781
Ba Y Cl
8 4 4
Direct
0.000 0.000 0.000
0.000 0.500 0.500
0.250 0.250 0.250
0.250 0.750 0.750
0.500 0.000 0.500
0.500 0.500 0.000
0.750 0.250 0.750
0.750 0.750 0.250
0.250 0.250 0.750
0.250 0.750 0.250
0.750 0.250 0.250
0.750 0.750 0.750
0.000 0.000 0.500
0.000 0.500 0.000
0.500 0.000 0.000
0.500 0.500 0.500
```

Output
SG   F-43m, No. 216
Size of the total moment   1.31 μB/f.u.
D(E_F)   27.6 states/eV per cell

=====

x.
## Ba2YCl (PBE-GGA)

Data for crystalline Ba2YCl at its relaxed geometry.

```
Ba2YCl
1.0
3.990 0.000 0.000
0.000 3.990 0.000
0.000 0.000 12.292
Ba Y Cl
2 1 1
Direct
0.000 0.000 0.000
0.500 0.500 0.321
0.500 0.500 0.780
0.000 0.000 0.429
```

Output
SG   P4mm, No. 99
Size of the total moment   1.60 μB/f.u.
D(E_F)   4.9 states/eV per cell

=====

Most stable structure: x

=====

w.
## Ba2YCl (PBE-GGA)

Data for crystalline Ba2YCl at its relaxed geometry.

```
Ba2YCl
1.0
3.905 0.000 0.000
0.000 3.905 0.000
0.000 0.000 10.560
Ba Y Cl
2 1 1
Direct
0.000 0.000 0.214
0.000 0.000 0.786
0.500 0.500 0.500
0.500 0.500 0.000
```

Output
SG   P4/mmm, No. 123
Size of the total moment   0.64 μB/f.u.
D(E_F)   6.6 states/eV per cell

=====

x.
## Ba2YCl (PBE-GGA)

Data for crystalline Ba2YCl at its relaxed geometry.

```
Ba2YCl
1.0
4.037 0.000 0.000
0.000 4.037 0.000
0.000 0.000 11.013
Ba Y Cl
2 1 1
Direct
0.000 0.000 0.000
0.500 0.500 0.414
0.500 0.500 0.754
0.000 0.000 0.298
```

Output
SG   P4mm, No. 99
Size of the total moment   1.84 μB/f.u.
D(E_F)   4.5 states/eV per cell

=====

Most stable structure: w

=====

w.
## Ba2YCl (PBE-GGA)

Data for crystalline Ba2YCl at its relaxed geometry.

```
Ba2YCl
1.0
9.182 0.000 0.000
0.000 9.144 0.000
-0.012 0.000 3.905
Ba Y Cl
4 2 2
Direct
0.250 0.250 0.000
0.250 0.750 0.000
0.750 0.250 0.000
0.750 0.750 0.000
0.000 0.000 0.500
0.500 0.500 0.500
0.000 0.500 0.500
0.500 0.000 0.500
```

Output
SG   C2/m, No. 12
Size of the total moment   0.00 μB/f.u.
D(E_F)   10.0 states/eV per cell

=====

x.
## Ba2YCl (PBE-GGA)

Data for crystalline Ba2YCl at its relaxed geometry.

```
Ba2YCl
1.0
4.101 0.000 0.000
0.000 7.527 0.000
0.000 0.000 12.099
Ba Y Cl
4 2 2
Direct
0.000 0.000 0.197
0.000 0.000 0.803
0.500 0.500 0.303
0.500 0.500 0.697
0.000 0.500 0.000
0.500 0.000 0.500
0.000 0.500 0.500
0.500 0.000 0.000
```

Output
SG   Immm, No. 71
Size of the total moment   1.65 μB/f.u.
D(E_F)   14.8 states/eV per cell

=====

Most stable structure: w

=====

w.
## Ba2YCl (PBE-GGA)

Data for crystalline Ba2YCl at its relaxed geometry.

```
Ba2YCl
1.0
4.839 0.000 0.000
0.000 4.839 0.000
0.000 0.000 15.614
Ba Y Cl
4 2 2
Direct
0.000 0.000 0.000
0.000 0.500 0.250
0.500 0.000 0.750
0.500 0.500 0.500
0.000 0.000 0.500
0.500 0.500 0.000
0.000 0.500 0.750
0.500 0.000 0.250
```

Output
SG   I-4m2, No. 119
Size of the total moment   1.05 μB/f.u.
D(E_F)   10.8 states/eV per cell

=====

x.
## Ba2YCl (PBE-GGA)

Data for crystalline Ba2YCl at its relaxed geometry.

```
Ba2YCl
1.0
6.518 0.000 0.000
0.000 6.518 0.000
0.000 0.000 4.230
Ba Y Cl
2 1 1
Direct
0.000 0.500 0.000
0.500 0.000 0.000
0.000 0.000 0.500
0.500 0.500 0.998
```

Output
SG   P4mm, No. 99
Size of the total moment   0.01 μB/f.u.
D(E_F)   5.4 states/eV per cell

=====

Most stable structure: x

=====

w.
## Ba2YCl (PBE-GGA)

Data for crystalline Ba2YCl at its relaxed geometry.

```
Ba2YCl
1.0
13.337 0.000 0.000
0.000 3.898 0.000
-3.278 0.000 6.193
Ba Y Cl
4 2 2
Direct
0.000 0.000 0.000
0.171 0.000 0.647
0.500 0.500 0.000
0.671 0.500 0.647
0.375 0.000 0.397
0.875 0.500 0.397
0.252 0.500 0.064
0.752 0.000 0.064
```

Output
SG   Cm, No. 8
Size of the total moment   0.40 μB/f.u.
D(E_F)   10.9 states/eV per cell

=====

x.
## Ba2YCl (PBE-GGA)

Data for crystalline Ba2YCl at its relaxed geometry.

```
Ba2YCl
1.0
5.610 0.000 0.000
0.000 5.610 0.000
0.000 0.000 10.888
Ba Y Cl
4 2 2
Direct
0.000 0.500 0.250
0.000 0.500 0.750
0.500 0.000 0.250
0.500 0.000 0.750
0.000 0.000 0.000
0.500 0.500 0.500
0.000 0.000 0.500
0.500 0.500 0.000
```

Output
SG   I4/mmm, No. 139
Size of the total moment   2.71 μB/f.u.
D(E_F)   12.1 states/eV per cell

=====

Most stable structure: w

=====

w.
## Ba2YCl7 (PBE-GGA)

Data for crystalline Ba2YCl7 at its relaxed geometry.

```
Ba2YCl7
1.0
8.875 0.000 0.000
0.000 10.924 0.000
-8.008 0.000 13.289
Ba Y Cl
8 4 28
Direct
0.107 0.191 0.269
0.107 0.309 0.769
0.280 0.698 0.047
0.280 0.802 0.547
0.720 0.198 0.453
0.720 0.302 0.953
0.893 0.691 0.231
0.893 0.809 0.731
0.447 0.097 0.116
0.447 0.403 0.616
0.553 0.597 0.384
0.553 0.903 0.884
0.069 0.565 0.850
0.069 0.935 0.350
0.113 0.171 0.058
0.113 0.329 0.558
0.260 0.708 0.242
0.260 0.792 0.742
0.279 0.547 0.444
0.279 0.953 0.944
0.414 0.124 0.811
0.414 0.204 0.504
0.414 0.296 0.004
0.414 0.376 0.311
0.418 0.053 0.281
0.418 0.447 0.781
0.582 0.553 0.219
0.582 0.947 0.719
0.586 0.624 0.689
0.586 0.704 0.996
0.586 0.796 0.496
0.586 0.876 0.189
0.721 0.047 0.056
0.721 0.453 0.556
0.740 0.208 0.258
0.740 0.292 0.758
0.887 0.671 0.442
0.887 0.829 0.942
0.931 0.065 0.650
0.931 0.435 0.150
```

Output
SG   P2_1/c, No. 14
Size of the total moment   0.00 μB/f.u.
D(E_F)   0.0 states/eV per cell

=====

x.
## Ba2YCl7 (PBE-GGA)

Data for crystalline Ba2YCl7 at its relaxed geometry.

```
Ba2YCl7
1.0
6.984 0.000 0.000
0.000 15.682 0.000
-0.124 0.000 10.663
Ba Y Cl
8 4 28
Direct
0.232 0.219 0.452
0.232 0.281 0.952
0.233 0.560 0.324
0.233 0.940 0.824
0.767 0.060 0.176
0.767 0.440 0.676
0.768 0.719 0.048
0.768 0.781 0.548
0.279 0.627 0.781
0.279 0.873 0.281
0.721 0.127 0.719
0.721 0.373 0.219
0.011 0.742 0.300
0.011 0.758 0.800
0.012 0.606 0.584
0.012 0.894 0.084
0.197 0.039 0.288
0.197 0.461 0.788
0.198 0.638 0.026
0.198 0.862 0.526
0.379 0.070 0.623
0.379 0.430 0.123
0.497 0.727 0.292
0.497 0.773 0.792
0.498 0.604 0.571
0.498 0.896 0.071
0.502 0.104 0.929
0.502 0.396 0.429
0.503 0.227 0.208
0.503 0.273 0.708
0.621 0.570 0.877
0.621 0.930 0.377
0.802 0.138 0.474
0.802 0.362 0.974
0.803 0.539 0.212
0.803 0.961 0.712
0.988 0.106 0.916
0.988 0.394 0.416
0.989 0.242 0.200
0.989 0.258 0.700
```

Output
SG   P2_1/c, No. 14
Size of the total moment   0.00 μB/f.u.
D(E_F)   0.0 states/eV per cell

=====

Most stable structure: x

=====

w.
## Ba2YCl7 (PBE-GGA)

Data for crystalline Ba2YCl7 at its relaxed geometry.

```
Ba2YCl7
1.0
10.748 0.000 0.000
0.000 7.135 0.000
0.000 0.000 16.906
Ba Y Cl
8 4 28
Direct
0.128 0.250 0.222
0.172 0.250 0.941
0.328 0.750 0.441
0.372 0.750 0.722
0.628 0.250 0.278
0.672 0.250 0.559
0.828 0.750 0.059
0.872 0.750 0.778
0.088 0.250 0.652
0.412 0.750 0.152
0.588 0.250 0.848
0.912 0.750 0.348
0.034 0.750 0.939
0.093 0.509 0.382
0.093 0.991 0.382
0.114 0.017 0.776
0.114 0.483 0.776
0.249 0.009 0.591
0.249 0.491 0.591
0.251 0.509 0.091
0.251 0.991 0.091
0.386 0.517 0.276
0.386 0.983 0.276
0.407 0.009 0.882
0.407 0.491 0.882
0.466 0.250 0.439
0.534 0.750 0.561
0.593 0.509 0.118
0.593 0.991 0.118
0.614 0.017 0.724
0.614 0.483 0.724
0.749 0.009 0.909
0.749 0.491 0.909
0.751 0.509 0.409
0.751 0.991 0.409
0.886 0.517 0.224
0.886 0.983 0.224
0.907 0.009 0.618
0.907 0.491 0.618
0.966 0.250 0.061
```

Output
SG   Pnma, No. 62
Size of the total moment   0.13 μB/f.u.
D(E_F)   0.0 states/eV per cell

=====

x.
## Ba2YCl7 (PBE-GGA)

Data for crystalline Ba2YCl7 at its relaxed geometry.

```
Ba2YCl7
1.0
8.414 -4.095 0.000
8.414 4.095 0.000
-6.786 0.000 8.405
Ba Y Cl
4 2 14
Direct
0.175 0.213 0.300
0.213 0.175 0.800
0.787 0.825 0.200
0.825 0.787 0.700
0.442 0.558 0.250
0.558 0.442 0.750
0.098 0.902 0.250
0.165 0.596 0.571
0.183 0.443 0.166
0.249 0.569 0.946
0.404 0.835 0.929
0.431 0.751 0.554
0.443 0.183 0.666
0.557 0.817 0.334
0.569 0.249 0.446
0.596 0.165 0.071
0.751 0.431 0.054
0.817 0.557 0.834
0.835 0.404 0.429
0.902 0.098 0.750
```

Output
SG   C2/c, No. 15
Size of the total moment   0.00 μB/f.u.
D(E_F)   0.0 states/eV per cell

=====

y.
## Ba2YCl7 (PBE-GGA)

Data for crystalline Ba2YCl7 at its relaxed geometry.

```
Ba2YCl7
1.0
7.375 0.000 0.000
0.000 13.980 0.000
-2.416 0.000 13.234
Ba Y Cl
8 4 28
Direct
0.197 0.000 0.241
0.197 0.171 0.741
0.267 0.408 0.358
0.267 0.763 0.858
0.733 0.263 0.142
0.733 0.908 0.642
0.803 0.500 0.759
0.803 0.671 0.259
0.368 0.483 0.965
0.369 0.688 0.464
0.631 0.188 0.536
0.632 0.983 0.035
0.068 0.580 0.455
0.068 0.591 0.955
0.097 0.962 0.786
0.098 0.209 0.286
0.136 0.356 0.865
0.136 0.814 0.364
0.337 0.287 0.564
0.338 0.883 0.064
0.371 0.386 0.133
0.371 0.784 0.633
0.396 0.559 0.784
0.397 0.611 0.285
0.445 0.034 0.464
0.445 0.137 0.964
0.555 0.534 0.536
0.555 0.637 0.036
0.603 0.111 0.715
0.604 0.059 0.216
0.629 0.284 0.367
0.629 0.886 0.867
0.662 0.383 0.936
0.663 0.787 0.436
0.864 0.314 0.636
0.864 0.856 0.135
0.902 0.709 0.714
0.903 0.462 0.214
0.932 0.080 0.545
0.932 0.091 0.045
```

Output
SG   P2_1, No. 4
Size of the total moment   0.11 μB/f.u.
D(E_F)   0.0 states/eV per cell

=====

Most stable structure: y

=====

w.
## Ba3YCl (PBE-GGA)

Data for crystalline Ba3YCl at its relaxed geometry.

```
Ba3YCl
1.0
6.768 0.000 0.000
0.000 6.768 0.000
0.000 0.000 6.768
Ba Y Cl
3 1 1
Direct
0.000 0.000 0.500
0.000 0.500 0.000
0.500 0.000 0.000
0.000 0.000 0.000
0.500 0.500 0.500
```

Output
SG   Pm-3m, No. 221
Size of the total moment   3.55 μB/f.u.
D(E_F)   10.0 states/eV per cell

=====

x.
## Ba3YCl (PBE-GGA)

Data for crystalline Ba3YCl at its relaxed geometry.

```
Ba3YCl
1.0
6.172 0.000 0.000
0.000 6.172 0.000
0.000 0.000 6.172
Ba Y Cl
3 1 1
Direct
0.000 0.000 0.500
0.000 0.500 0.000
0.500 0.000 0.000
0.500 0.500 0.500
0.000 0.000 0.000
```

Output
SG   Pm-3m, No. 221
Size of the total moment   0.00 μB/f.u.
D(E_F)   9.1 states/eV per cell

=====

Most stable structure: x